Record 1
# MgZn6Rh | the Alexandria database | PBE | relaxed
# Magnetic moment in μB/atom: 0.000
# Crystal system: cubic
# Energy of formation from the pure elements in eV/atom: -0.072
# E above lowest polymorph in kJ/mol of formula units: 68
# ρ in g/cm³: 7.0
# DOS at the Fermi energy in states/eV per cell: 3.4
data_MgZn6Rh
_space_group_name_H-M_alt 'P m -3'
_space_group_IT_number 200
_space_group_name_Hall '-P 2 2 3'
_cell_length_a 4.986
_cell_length_b 4.986
_cell_length_c 4.986
_cell_angle_alpha 90.00
_cell_angle_beta 90.00
_cell_angle_gamma 90.00
loop_
_atom_site_label
_atom_site_type_symbol
_atom_site_fract_x
_atom_site_fract_y
_atom_site_fract_z
Mg1 Mg 0.000 0.000 0.000
Zn1 Zn 0.000 0.256 0.500
Rh1 Rh 0.500 0.500 0.500

Record 2
# Pr2Ga4CuPt3 | the Alexandria database | PBE | relaxed
# Magnetic moment in μB/atom: 0.000
# Crystal system: tetragonal
# Energy of formation from the pure elements in eV/atom: -0.846
# ρ in g/cm³: 10.3
# DOS at the Fermi energy in states/eV per cell: 7.6
data_Pr2Ga4CuPt3
_space_group_name_H-M_alt 'P -4 m 2'
_space_group_IT_number 115
_space_group_name_Hall 'P -4 -2'
_cell_length_a 4.288
_cell_length_b 4.288
_cell_length_c 10.572
_cell_angle_alpha 90.00
_cell_angle_beta 90.00
_cell_angle_gamma 90.00
loop_
_atom_site_label
_atom_site_type_symbol
_atom_site_fract_x
_atom_site_fract_y
_atom_site_fract_z
Pr1 Pr 0.000 0.500 0.247
Ga1 Ga 0.000 0.000 0.000
Ga2 Ga 0.000 0.500 0.627
Ga3 Ga 0.500 0.500 0.000
Cu1 Cu 0.000 0.000 0.500
Pt1 Pt 0.000 0.500 0.866
Pt2 Pt 0.500 0.500 0.500

Record 3
# NaSbAu2 | the Alexandria database | PBE | relaxed
# Magnetic moment in μB/atom: 0.000
# Crystal system: monoclinic
# E_form (uncorrected) in eV/atom: -0.220
# ρ in g/cm³: 8.6
# DOS at the Fermi energy in states/eV per cell: 1.8
data_NaSbAu2
_space_group_name_H-M_alt 'P 1 21/m 1'
_space_group_IT_number 11
_space_group_name_Hall '-P 2yb'
_cell_length_a 5.025
_cell_length_b 7.726
_cell_length_c 5.920
_cell_angle_alpha 90.00
_cell_angle_beta 114.94
_cell_angle_gamma 90.00
loop_
_atom_site_label
_atom_site_type_symbol
_atom_site_fract_x
_atom_site_fract_y
_atom_site_fract_z
Na1 Na 0.048 0.250 0.099
Sb1 Sb 0.352 0.250 0.705
Au1 Au 0.226 0.569 0.452

Record 4
# AuCl3F | the Alexandria database | PBE | relaxed
# Magnetic moment in μB/atom: 0.196
# Crystal system: monoclinic
# E_form (uncorrected) in eV/atom: -0.303
# E above lowest polymorph in kJ/mol of formula units: 4
# ρ in g/cm³: 3.8
# DOS at the Fermi energy in states/eV per cell: 1.9
data_AuCl3F
_space_group_name_H-M_alt 'P 1 21/c 1'
_space_group_IT_number 14
_space_group_name_Hall '-P 2ybc'
_cell_length_a 10.218
_cell_length_b 5.485
_cell_length_c 11.344
_cell_angle_alpha 90.00
_cell_angle_beta 118.59
_cell_angle_gamma 90.00
loop_
_atom_site_label
_atom_site_type_symbol
_atom_site_fract_x
_atom_site_fract_y
_atom_site_fract_z
Au1 Au 0.248 0.089 0.361
Cl1 Cl 0.107 0.160 0.918
Cl2 Cl 0.236 0.140 0.704
Cl3 Cl 0.389 0.676 0.811
F1 F 0.263 0.643 0.000

Record 5
# CaLaPm2Nd6 | the Alexandria database | PBE | relaxed
# Magnetic moment in μB/atom: 0.000
# Crystal system: monoclinic
# Energy of formation from the pure elements in eV/atom: 0.116
# ρ in g/cm³: 6.1
# DOS at the Fermi energy in states/eV per cell: 57.1
data_CaLaPm2Nd6
_space_group_name_H-M_alt 'C 1 2/c 1'
_space_group_IT_number 15
_space_group_name_Hall '-C 2yc'
_cell_length_a 9.329
_cell_length_b 15.812
_cell_length_c 9.907
_cell_angle_alpha 90.00
_cell_angle_beta 96.74
_cell_angle_gamma 90.00
loop_
_atom_site_label
_atom_site_type_symbol
_atom_site_fract_x
_atom_site_fract_y
_atom_site_fract_z
Ca1 Ca 0.000 0.027 0.250
La1 La 0.000 0.406 0.750
Pm1 Pm 0.247 0.056 0.543
Nd1 Nd 0.061 0.187 0.945
Nd2 Nd 0.105 0.395 0.119
Nd3 Nd 0.205 0.232 0.320

Record 6
# Ba2NdI | the Alexandria database | PBE | relaxed
# Magnetic moment in μB/atom: 0.269
# Crystal system: trigonal
# E_form (uncorrected) in eV/atom: -0.273
# ρ in g/cm³: 4.9
# DOS at the Fermi energy in states/eV per cell: 17.6
data_Ba2NdI
_space_group_name_H-M_alt 'R -3 m'
_space_group_IT_number 166
_space_group_name_Hall '-R 3 2"'
_cell_length_a 4.0920
_cell_length_b 4.0920
_cell_length_c 38.5856
_cell_angle_alpha 90.00
_cell_angle_beta 90.00
_cell_angle_gamma 120.00
loop_
_atom_site_label
_atom_site_type_symbol
_atom_site_fract_x
_atom_site_fract_y
_atom_site_fract_z
Ba1 Ba 0.0000 0.0000 0.0976
Nd1 Nd 0.0000 0.0000 0.0000
I1 I 0.0000 0.0000 0.5000

Record 7
# Mg2CuBr | the Alexandria database | PBE | relaxed
# Magnetic moment in μB/atom: 0.000
# Crystal system: trigonal
# E_form (uncorrected) in eV/atom: -0.131
# E above lowest polymorph in kJ/mol of formula units: 82
# ρ in g/cm³: 3.6
# DOS at the Fermi energy in states/eV per cell: 2.1
data_Mg2CuBr
_space_group_name_H-M_alt 'R 3 m'
_space_group_IT_number 160
_space_group_name_Hall 'R 3 -2"'
_cell_length_a 3.4982
_cell_length_b 3.4982
_cell_length_c 25.0721
_cell_angle_alpha 90.00
_cell_angle_beta 90.00
_cell_angle_gamma 120.00
loop_
_atom_site_label
_atom_site_type_symbol
_atom_site_fract_x
_atom_site_fract_y
_atom_site_fract_z
Mg1 Mg 0.0000 0.0000 0.0000
Mg2 Mg 0.0000 0.0000 0.2325
Cu1 Cu 0.0000 0.0000 0.7363
Br1 Br 0.0000 0.0000 0.4926

Record 8
# SrZrCl | the Alexandria database | PBE | relaxed
# Magnetic moment in μB/atom: 0.197
# Crystal system: orthorhombic
# E_form (uncorrected) in eV/atom: -0.403
# E above lowest polymorph in kJ/mol of formula units: 35
# ρ in g/cm³: 4.5
# DOS at the Fermi energy in states/eV per cell: 10.5
data_SrZrCl
_space_group_name_H-M_alt 'F m m 2'
_space_group_IT_number 42
_space_group_name_Hall 'F 2 -2'
_cell_length_a 4.017
_cell_length_b 5.589
_cell_length_c 14.188
_cell_angle_alpha 90.00
_cell_angle_beta 90.00
_cell_angle_gamma 90.00
loop_
_atom_site_label
_atom_site_type_symbol
_atom_site_fract_x
_atom_site_fract_y
_atom_site_fract_z
Sr1 Sr 0.000 0.000 0.000
Zr1 Zr 0.000 0.000 0.308
Cl1 Cl 0.000 0.000 0.667

Record 9
# TbEr2PaN4 | the Alexandria database | PBE | relaxed
# Magnetic moment in μB/atom: 0.000
# Crystal system: monoclinic
# E_form (uncorrected) in eV/atom: -1.722
# ρ in g/cm³: 11.0
# DOS at the Fermi energy in states/eV per cell: 3.4
data_TbEr2PaN4
_space_group_name_H-M_alt 'P 1 2/m 1'
_space_group_IT_number 10
_space_group_name_Hall '-P 2y'
_cell_length_a 5.975
_cell_length_b 3.476
_cell_length_c 5.985
_cell_angle_alpha 90.00
_cell_angle_beta 109.18
_cell_angle_gamma 90.00
loop_
_atom_site_label
_atom_site_type_symbol
_atom_site_fract_x
_atom_site_fract_y
_atom_site_fract_z
Tb1 Tb 0.000 0.000 0.000
Er1 Er 0.500 0.000 0.500
Er2 Er 0.500 0.500 0.000
Pa1 Pa 0.000 0.500 0.500
N1 N 0.246 0.500 0.262
N2 N 0.248 0.000 0.743

Record 10
# Li2Mg5Ag | the Alexandria database | PBE | relaxed
# Magnetic moment in μB/atom: 0.000
# Crystal system: orthorhombic
# Energy of formation from the pure elements in eV/atom: -0.079
# E above lowest polymorph in kJ/mol of formula units: 0
# ρ in g/cm³: 2.4
# DOS at the Fermi energy in states/eV per cell: 11.2
data_Li2Mg5Ag
_space_group_name_H-M_alt 'C m c m'
_space_group_IT_number 63
_space_group_name_Hall '-C 2c 2'
_cell_length_a 4.588
_cell_length_b 10.012
_cell_length_c 14.464
_cell_angle_alpha 90.00
_cell_angle_beta 90.00
_cell_angle_gamma 90.00
loop_
_atom_site_label
_atom_site_type_symbol
_atom_site_fract_x
_atom_site_fract_y
_atom_site_fract_z
Li1 Li 0.000 0.232 0.151
Mg1 Mg 0.000 0.061 0.595
Mg2 Mg 0.000 0.358 0.546
Mg3 Mg 0.000 0.498 0.250
Ag1 Ag 0.000 0.218 0.750

Record 11
# PuGe2Ru4 | the Alexandria database | PBE | relaxed
# Magnetic moment in μB/atom: 0.649
# Crystal system: tetragonal
# Energy of formation from the pure elements in eV/atom: -0.291
# ρ in g/cm³: 11.4
# DOS at the Fermi energy in states/eV per cell: 28.3
data_PuGe2Ru4
_space_group_name_H-M_alt 'P 42/m n m'
_space_group_IT_number 136
_space_group_name_Hall '-P 4n 2n'
_cell_length_a 7.630
_cell_length_b 7.630
_cell_length_c 3.960
_cell_angle_alpha 90.00
_cell_angle_beta 90.00
_cell_angle_gamma 90.00
loop_
_atom_site_label
_atom_site_type_symbol
_atom_site_fract_x
_atom_site_fract_y
_atom_site_fract_z
Pu1 Pu 0.000 0.000 0.000
Ge1 Ge 0.217 0.217 0.500
Ru1 Ru 0.081 0.652 0.500

Record 12
# RbRuPt2 | the Alexandria database | PBE | relaxed
# Magnetic moment in μB/atom: 0.693
# Crystal system: cubic
# Energy of formation from the pure elements in eV/atom: 1.069
# E above lowest polymorph in kJ/mol of formula units: 127
# ρ in g/cm³: 12.2
# DOS at the Fermi energy in states/eV per cell: 17.1
data_RbRuPt2
_space_group_name_H-M_alt 'F m -3 m'
_space_group_IT_number 225
_space_group_name_Hall '-F 4 2 3'
_cell_length_a 6.789
_cell_length_b 6.789
_cell_length_c 6.789
_cell_angle_alpha 90.00
_cell_angle_beta 90.00
_cell_angle_gamma 90.00
loop_
_atom_site_label
_atom_site_type_symbol
_atom_site_fract_x
_atom_site_fract_y
_atom_site_fract_z
Rb1 Rb 0.000 0.000 0.000
Ru1 Ru 0.000 0.000 0.500
Pt1 Pt 0.250 0.250 0.250